1.
An optimized crystal structure of DySc2Cu9. Source: the Alexandria database, functional PBE.

Cell lengths 5.0711, 5.0711, 8.6230 Å; angles 72.90, 72.90, 60.00 degrees
Closest atoms and distances in Å follow each position.
Sites, in units of the cell vectors:
Dy1 0.0000 0.0000 0.0000  18 Cu 2.93-3.26
Cu1 0.9179 0.4144 0.2534  7 Cu 2.48-2.55
Cu2 0.0821 0.5856 0.7466  7 Cu 2.48-2.55
Cu3 0.5856 0.0821 0.7466  7 Cu 2.48-2.55
Cu4 0.5000 0.5000 0.5000  6 Cu 2.48
Cu5 0.4144 0.4144 0.2534  7 Cu 2.48-2.55
Cu6 0.6671 0.6671 0.9987  6 Cu 2.51-2.54
Cu7 0.3329 0.3329 0.0013  6 Cu 2.51-2.54
Cu8 0.5856 0.5856 0.7466  7 Cu 2.48-2.55
Cu9 0.4144 0.9179 0.2534  7 Cu 2.48-2.55
Sc1 0.1442 0.1442 0.5674  12 Cu 2.92-2.98, 3 Sc 3.13
Sc2 0.8558 0.8558 0.4326  12 Cu 2.92-2.98, 3 Sc 3.13

- SG: No. 166
- D(E_F): 10.474 states/eV/f.u.
- VASP energy: -4.726 eV/atom



2.
An optimized crystal structure of Dy2ScCu2. Source: the Alexandria database, functional PBE.

Cell lengths 3.5987, 7.8046, 7.8046 Å; angles 90.00, 90.00, 90.00 degrees
Closest atoms and distances in Å follow each position.
Sites, in units of the cell vectors:
Cu1 0.0000 0.1235 0.3765  1 Cu 2.73, 6 Dy 2.91-2.93
Cu2 0.0000 0.6235 0.1235  1 Cu 2.73, 6 Dy 2.91-2.93
Cu3 0.0000 0.8765 0.6235  1 Cu 2.73, 6 Dy 2.91-2.93
Cu4 0.0000 0.3765 0.8765  1 Cu 2.73, 6 Dy 2.91-2.93
Sc1 0.0000 0.5000 0.5000  4 Cu 3.09, 8 Dy 3.41
Sc2 0.0000 0.0000 0.0000  4 Cu 3.09, 8 Dy 3.41
Dy1 0.5000 0.3303 0.1697  6 Cu 2.91-2.93
Dy2 0.5000 0.8303 0.3303  6 Cu 2.91-2.93
Dy3 0.5000 0.1697 0.6697  6 Cu 2.91-2.93
Dy4 0.5000 0.6697 0.8303  6 Cu 2.91-2.93

- SG: No. 127
- D(E_F): 6.592 states/eV/f.u.
- VASP energy: -4.911 eV/atom
- Relative energy among the computed polymorphs: 0.000 eV/atom



3.
An optimized crystal structure of Dy3ScCu4. Source: the Alexandria database, functional PBE.

Cell lengths 3.4247, 3.4247, 13.5970 Å; angles 90.00, 90.00, 90.00 degrees
Closest atoms and distances in Å follow each position.
Sites, in units of the cell vectors:
Dy1 0.5000 0.5000 0.5000  8 Cu 2.98
Dy2 0.5000 0.5000 0.2427  8 Cu 3.00-3.04, 1 Sc 3.30
Dy3 0.5000 0.5000 0.7573  8 Cu 3.00-3.04, 1 Sc 3.30
Sc1 0.5000 0.5000 0.0000  8 Cu 2.83
Cu1 0.0000 0.0000 0.1073  4 Sc 2.83, 1 Cu 2.92, 4 Dy 3.04
Cu2 0.0000 0.0000 0.3728  8 Dy 2.98-3.00
Cu3 0.0000 0.0000 0.8927  4 Sc 2.83, 1 Cu 2.92, 4 Dy 3.04
Cu4 0.0000 0.0000 0.6272  8 Dy 2.98-3.00

- SG: No. 123
- D(E_F): 5.083 states/eV/f.u.
- VASP energy: -4.816 eV/atom



4.
An optimized crystal structure of Dy2ScCu. Source: the Alexandria database, functional PBE.

Cell lengths 3.6098, 5.1682, 5.1682 Å; angles 90.00, 90.00, 90.00 degrees
Closest atoms and distances in Å follow each position.
Sites, in units of the cell vectors:
Sc1 0.5000 0.0000 0.0000  8 Dy 3.15
Dy1 0.0000 0.0000 0.5000  4 Sc 3.15, 4 Cu 3.15
Dy2 0.0000 0.5000 0.0000  4 Sc 3.15, 4 Cu 3.15
Cu1 0.5000 0.5000 0.5000  8 Dy 3.15

- SG: No. 123
- D(E_F): 4.920 states/eV/f.u.
- VASP energy: -4.862 eV/atom
- Relative energy among the computed polymorphs: 0.126 eV/atom



Number 1: calculated formation energy -0.215 eV per atom. Number 2: calculated formation energy -0.166 eV per atom. Number 3: calculated formation energy -0.250 eV per atom. Number 4: calculated formation energy 0.046 eV per atom.